Computed, not measured: an optimized crystal structure of RbNp2MoO8 at the GGA+U level of DFT.

```
data_RbNp2MoO8
_space_group_name_H-M_alt 'P -1'
_space_group_IT_number 2
_cell_length_a 5.0911
_cell_length_b 5.1001
_cell_length_c 7.2468
_cell_angle_alpha 89.11
_cell_angle_beta 89.08
_cell_angle_gamma 86.97
loop_
_space_group_symop_operation_xyz
'x,y,z'
'-x,-y,-z'
loop_
_atom_site_label
_atom_site_fract_x
_atom_site_fract_y
_atom_site_fract_z
Rb1 0.0000 0.0000 0.0000
Np1 0.4871 0.4870 0.2628
Mo1 0.0000 0.0000 0.5000
O1 0.2185 0.7773 0.2961
O2 0.2249 0.7840 0.7038
O3 0.3045 0.3068 0.4859
O4 0.3428 0.3465 0.9466
```

Results
Its energy is -101.4 eV/f.u.